[1]
ZnSbW2: relaxed, PBE-GGA.

a = 5.6654 Å, b = 8.9582 Å, c = 2.9100 Å
α = 90.00°, β = 110.98°, γ = 90.00°
Element x y z (fractional)
Zn  0.0000  0.0000  0.0000
Zn  0.5000  0.5000  0.0000
Sb  0.0000  0.5000  0.0000
Sb  0.5000  0.0000  0.0000
W  0.2500  0.2500  0.5000
W  0.2500  0.7500  0.5000
W  0.7500  0.2500  0.5000
W  0.7500  0.7500  0.5000

Magnetic moment (μB per atom): 0.000
DOS at the Fermi energy (states/eV per atom): 0.621
Energy above the most stable polymorph in this dataset (meV per atom): 340
E_form (uncorrected) (eV per formula unit): 2.6
Calculated total energy (eV for the cell shown): -57.4


[2]
BaTc3Ge: relaxed, PBE-GGA.

a = 4.8012 Å, b = 4.8012 Å, c = 4.8012 Å
α = 90.00°, β = 90.00°, γ = 90.00°
Element x y z (fractional)
Ba  0.0000  0.0000  0.0000
Tc  0.0000  0.5000  0.5000
Tc  0.5000  0.0000  0.5000
Tc  0.5000  0.5000  0.0000
Ge  0.5000  0.5000  0.5000

Magnetic moment (μB per atom): 0.863
DOS at the Fermi energy (states/eV per atom): 1.154
Energy relative to the elements (eV/atom): 1.073
Energy above the most stable polymorph in this dataset (meV per atom): 0
Calculated total energy (eV for the cell shown): -32.3


[3]
TlAsBr: relaxed, PBE-GGA.

a = 4.2559 Å, b = 4.2559 Å, c = 11.5086 Å
α = 90.00°, β = 90.00°, γ = 90.00°
Element x y z (fractional)
Tl  0.0000  0.0000  0.0000
Tl  0.5000  0.5000  0.5000
As  0.0000  0.0000  0.5016
As  0.5000  0.5000  0.0016
Br  0.0000  0.0000  0.7149
Br  0.5000  0.5000  0.2149

Magnetic moment (μB per atom): 0.000
DOS at the Fermi energy (states/eV per atom): 0.404
Energy above the most stable polymorph in this dataset (meV per atom): 248
E_form (uncorrected) (eV per formula unit): -0.1
Calculated total energy (eV for the cell shown): -17.5


[4]
MnNiW4: relaxed, PBE-GGA.

a = 5.2041 Å, b = 5.2041 Å, c = 5.2041 Å
α = 60.00°, β = 60.00°, γ = 60.00°
Element x y z (fractional)
Mn  0.0000  0.0000  0.0000
Ni  0.7500  0.7500  0.7500
W  0.3750  0.3750  0.3750
W  0.3750  0.3750  0.8750
W  0.3750  0.8750  0.3750
W  0.8750  0.3750  0.3750

Magnetic moment (μB per atom): 0.443
DOS at the Fermi energy (states/eV per atom): 1.297
Energy relative to the elements (eV/atom): 0.704
Calculated total energy (eV for the cell shown): -62.5


[5]
Pm2Rh7: relaxed, PBE-GGA.

a = 13.5396 Å, b = 13.5396 Å, c = 13.5396 Å
α = 22.57°, β = 22.57°, γ = 22.57°
Element x y z (fractional)
Pm  0.0500  0.0500  0.0500
Pm  0.1471  0.1471  0.1471
Pm  0.8529  0.8529  0.8529
Pm  0.9500  0.9500  0.9500
Rh  0.0000  0.5000  0.5000
Rh  0.1093  0.6103  0.6103
Rh  0.2778  0.2778  0.2778
Rh  0.3890  0.3890  0.3890
Rh  0.3897  0.3897  0.8907
Rh  0.3897  0.8907  0.3897
Rh  0.5000  0.0000  0.5000
Rh  0.5000  0.5000  0.0000
Rh  0.5000  0.5000  0.5000
Rh  0.6103  0.1093  0.6103
Rh  0.6103  0.6103  0.1093
Rh  0.6110  0.6110  0.6110
Rh  0.7222  0.7222  0.7222
Rh  0.8907  0.3897  0.3897

Magnetic moment (μB per atom): 0.000
DOS at the Fermi energy (states/eV per atom): 1.113
Energy relative to the elements (eV/atom): -0.454
Calculated total energy (eV for the cell shown): -130.1


[6]
GaHSe2: relaxed, PBE-GGA.

a = 6.3864 Å, b = 6.3864 Å, c = 6.3864 Å
α = 90.00°, β = 90.00°, γ = 90.00°
Element x y z (fractional)
Ga  0.0000  0.0000  0.0000
Ga  0.0000  0.5000  0.5000
Ga  0.5000  0.0000  0.5000
Ga  0.5000  0.5000  0.0000
H  0.0000  0.0000  0.5000
H  0.0000  0.5000  0.0000
H  0.5000  0.0000  0.0000
H  0.5000  0.5000  0.5000
Se  0.2500  0.2500  0.2500
Se  0.2500  0.2500  0.7500
Se  0.2500  0.7500  0.2500
Se  0.2500  0.7500  0.7500
Se  0.7500  0.2500  0.2500
Se  0.7500  0.2500  0.7500
Se  0.7500  0.7500  0.2500
Se  0.7500  0.7500  0.7500

Magnetic moment (μB per atom): 0.000
DOS at the Fermi energy (states/eV per atom): 0.566
Energy above the most stable polymorph in this dataset (meV per atom): 901
Calculated total energy (eV for the cell shown): -44.8


[7]
KV3Ag: relaxed, PBE-GGA.

a = 5.1629 Å, b = 5.1629 Å, c = 5.1629 Å
α = 90.00°, β = 90.00°, γ = 90.00°
Element x y z (fractional)
K  0.0000  0.0000  0.0000
V  0.0000  0.5000  0.5000
V  0.5000  0.0000  0.5000
V  0.5000  0.5000  0.0000
Ag  0.5000  0.5000  0.5000

Magnetic moment (μB per atom): 2.024
DOS at the Fermi energy (states/eV per atom): 2.734
Energy relative to the elements (eV/atom): 1.595
Energy above the most stable polymorph in this dataset (meV per atom): 0
Calculated total energy (eV for the cell shown): -23.3


[8]
La2Ge2Se: relaxed, PBE-GGA.

a = 8.1290 Å, b = 8.1290 Å, c = 4.3975 Å
α = 90.00°, β = 90.00°, γ = 90.00°
Element x y z (fractional)
La  0.1858  0.3142  0.0000
La  0.3142  0.8142  0.0000
La  0.6858  0.1858  0.0000
La  0.8142  0.6858  0.0000
Ge  0.1048  0.6048  0.5000
Ge  0.3952  0.1048  0.5000
Ge  0.6048  0.8952  0.5000
Ge  0.8952  0.3952  0.5000
Se  0.0000  0.0000  0.0000
Se  0.5000  0.5000  0.0000

Magnetic moment (μB per atom): 0.000
DOS at the Fermi energy (states/eV per atom): 0.658
Energy above the most stable polymorph in this dataset (meV per atom): 190
E_form (uncorrected) (eV per formula unit): -5.2
Calculated total energy (eV for the cell shown): -55.5


[9]
Sr2LiLaAu: relaxed, PBE-GGA.

a = 5.9015 Å, b = 5.9015 Å, c = 5.4958 Å
α = 90.00°, β = 90.00°, γ = 90.00°
Element x y z (fractional)
Sr  0.0000  0.5000  0.0000
Sr  0.5000  0.0000  0.0000
Li  0.0000  0.0000  0.0000
La  0.0000  0.0000  0.5000
Au  0.5000  0.5000  0.5000

Magnetic moment (μB per atom): 0.000
DOS at the Fermi energy (states/eV per atom): 1.367
Energy relative to the elements (eV/atom): 0.355
Calculated total energy (eV for the cell shown): -11.7


[10]
AlCu3Pt6: relaxed, PBE-GGA.

a = 6.9439 Å, b = 6.0637 Å, c = 9.9844 Å
α = 90.00°, β = 134.05°, γ = 90.00°
Element x y z (fractional)
Al  0.0000  0.0000  0.0000
Al  0.0000  0.5000  0.5000
Cu  0.1988  0.2089  0.7550
Cu  0.1988  0.2911  0.2550
Cu  0.5000  0.0000  0.5000
Cu  0.5000  0.5000  0.0000
Cu  0.8012  0.7089  0.7450
Cu  0.8012  0.7911  0.2450
Pt  0.0935  0.1354  0.4416
Pt  0.0935  0.3646  0.9416
Pt  0.2778  0.6278  0.4411
Pt  0.2778  0.8722  0.9411
Pt  0.4568  0.6353  0.2486
Pt  0.4568  0.8647  0.7486
Pt  0.5432  0.1353  0.2514
Pt  0.5432  0.3647  0.7514
Pt  0.7222  0.1278  0.0589
Pt  0.7222  0.3722  0.5589
Pt  0.9065  0.6354  0.0584
Pt  0.9065  0.8646  0.5584

Magnetic moment (μB per atom): 0.000
DOS at the Fermi energy (states/eV per atom): 0.754
Energy relative to the elements (eV/atom): -0.194
Energy above the most stable polymorph in this dataset (meV per atom): 157
Calculated total energy (eV for the cell shown): -108.4


[11]
NpUCo: relaxed, PBE-GGA.

a = 2.6877 Å, b = 4.4203 Å, c = 8.2715 Å
α = 90.00°, β = 90.00°, γ = 90.00°
Element x y z (fractional)
Np  0.2500  0.2500  0.1093
Np  0.7500  0.7500  0.8907
U  0.2500  0.7500  0.2700
U  0.7500  0.2500  0.7300
Co  0.2500  0.7500  0.5627
Co  0.7500  0.2500  0.4373

Magnetic moment (μB per atom): 0.303
DOS at the Fermi energy (states/eV per atom): 2.323
Energy relative to the elements (eV/atom): 0.119
Calculated total energy (eV for the cell shown): -62.0


[12]
Np3Tl3RuS8: relaxed, PBE-GGA.

a = 7.6078 Å, b = 7.6078 Å, c = 8.9636 Å
α = 115.06°, β = 115.06°, γ = 59.94°
Element x y z (fractional)
Np  0.0000  0.0000  0.0000
Np  0.0000  0.5000  0.0000
Np  0.5000  0.0000  0.0000
Tl  0.0000  0.5000  0.5000
Tl  0.5000  0.0000  0.5000
Tl  0.5000  0.5000  0.5000
Ru  0.5000  0.5000  0.0000
S  0.2353  0.2353  0.2039
S  0.2539  0.7170  0.1867
S  0.2834  0.2834  0.8143
S  0.2830  0.7461  0.8133
S  0.7170  0.2539  0.1867
S  0.7166  0.7166  0.1857
S  0.7461  0.2830  0.8133
S  0.7647  0.7647  0.7961

Magnetic moment (μB per atom): 0.229
DOS at the Fermi energy (states/eV per atom): 1.592
E_form (uncorrected) (eV per formula unit): -12.8
Calculated total energy (eV for the cell shown): -101.0